Entry 1:
{
  "formula": "ZrCd",
  "functional": "meta-GGA SCAN",
  "state": "single point on PBEsol structure",
  "lattice_angstrom": [[-0.8080, -3.0554, 0.5832], [4.0454, -0.4421, 3.2890], [-4.0289, 3.1723, 2.1833]],
  "species": ["Zr", "Zr", "Cd", "Cd"],
  "frac_coords": [[0.6236, 0.9255, 0.2473], [0.3764, 0.0745, 0.7527], [0.1301, 0.4334, 0.2602], [0.8699, 0.5666, 0.7398]]
}

Entry 2:
{
  "formula": "ZrCd",
  "functional": "meta-GGA SCAN",
  "state": "single point on PBEsol structure",
  "lattice_angstrom": [[4.3928, 0.0000, 0.0000], [-2.1964, 3.8043, 0.0000], [0.0000, 0.0000, 5.6575]],
  "species": ["Cd", "Cd", "Zr", "Zr"],
  "frac_coords": [[0.0000, 0.0000, 0.0000], [0.0000, 0.0000, 0.5000], [0.6667, 0.3333, 0.7500], [0.3333, 0.6667, 0.2500]]
}

Entry 3:
{
  "formula": "ZrCd2",
  "functional": "meta-GGA SCAN",
  "state": "single point on PBEsol structure",
  "lattice_angstrom": [[4.3092, 0.0001, 0.0000], [0.0001, 4.3092, 0.0000], [-2.1546, -2.1546, 13.2616]],
  "species": ["Cd", "Cd", "Cd", "Cd", "Cd", "Cd", "Cd", "Cd", "Zr", "Zr", "Zr", "Zr"],
  "frac_coords": [[0.7501, 0.7501, 0.5001], [0.2499, 0.2499, 0.4999], [0.0001, 0.5001, 0.0001], [0.4999, 0.9999, 0.9999], [0.5838, 0.5838, 0.1677], [0.4162, 0.4162, 0.8323], [0.8338, 0.3338, 0.6677], [0.6662, 0.1662, 0.3323], [0.9168, 0.9168, 0.8336], [0.0832, 0.0832, 0.1664], [0.1668, 0.6668, 0.3336], [0.3332, 0.8332, 0.6664]]
}

Entry 4:
{
  "formula": "Zr3Cd",
  "functional": "meta-GGA SCAN",
  "state": "single point on PBEsol structure",
  "lattice_angstrom": [[5.1128, 0.0000, 0.0000], [0.0000, 6.1927, 0.0000], [0.0000, -3.0964, 5.3631]],
  "species": ["Zr", "Zr", "Zr", "Zr", "Zr", "Zr", "Cd", "Cd"],
  "frac_coords": [[0.7500, 0.1687, 0.3373], [0.2500, 0.8313, 0.6627], [0.7500, 0.1687, 0.8313], [0.2500, 0.8313, 0.1687], [0.7500, 0.6627, 0.8313], [0.2500, 0.3373, 0.1687], [0.7500, 0.6667, 0.3333], [0.2500, 0.3333, 0.6667]]
}

no.,ΔE_f (eV/atom),total magnetization (μB per formula unit)
1,-0.15,0.000
2,0.32,0.000
3,-0.18,0.701
4,-0.08,0.002